Record 1
# Ti4NO

A relaxed Ti4NO crystal (PBE, Alexandria).

Its space group is I4_1md (109). For the raw formation energy, the calculation gives -1.560 eV per atom. The value obtained for the energy above the most stable polymorph in this dataset is 0 meV/atom.

abc: 5.814 5.814 5.814
angles: 105.70 105.70 117.30
Sites, in units of the cell vectors:
Ti (0.200, 0.494, 0.706)
Ti (0.244, 0.039, 0.794)
Ti (0.244, 0.450, 0.206)
Ti (0.294, 0.000, 0.294)
Ti (0.706, 0.000, 0.706)
Ti (0.750, 0.544, 0.794)
Ti (0.750, 0.956, 0.206)
Ti (0.789, 0.494, 0.294)
N (0.748, 0.248, 0.500)
N (0.998, 0.998, 0.000)
O (0.246, 0.746, 0.500)
O (0.496, 0.496, 0.000)

Record 2
# Sm4Zn2Au5

A relaxed Sm4Zn2Au5 crystal (PBE, Alexandria).

Its space group is P2/m (10). The calculation puts the calculated formation energy at -64.3 kJ/mol of atoms.

abc: 7.659 3.793 8.863
angles: 90.00 92.21 90.00
Sites, in units of the cell vectors:
Sm (0.219, 0.000, 0.368)
Sm (0.279, 0.000, 0.868)
Sm (0.721, 0.000, 0.132)
Sm (0.781, 0.000, 0.632)
Zn (0.439, 0.500, 0.622)
Zn (0.561, 0.500, 0.378)
Au (0.000, 0.500, 0.000)
Au (0.100, 0.500, 0.639)
Au (0.373, 0.500, 0.126)
Au (0.627, 0.500, 0.874)
Au (0.900, 0.500, 0.361)

Record 3
# HRhW2

A relaxed HRhW2 crystal (PBE, Alexandria).

Its space group is I-42d (122). The value obtained for the energy above the most stable polymorph in this dataset is 0 meV/atom.

abc: 6.420 6.420 4.910
angles: 90.00 90.00 90.00
Sites, in units of the cell vectors:
H (0.000, 0.000, 0.000)
H (0.000, 0.500, 0.250)
H (0.500, 0.000, 0.750)
H (0.500, 0.500, 0.500)
Rh (0.000, 0.000, 0.500)
Rh (0.000, 0.500, 0.750)
Rh (0.500, 0.000, 0.250)
Rh (0.500, 0.500, 0.000)
W (0.150, 0.750, 0.125)
W (0.250, 0.150, 0.875)
W (0.250, 0.350, 0.375)
W (0.350, 0.750, 0.625)
W (0.650, 0.250, 0.625)
W (0.750, 0.650, 0.375)
W (0.750, 0.850, 0.875)
W (0.850, 0.250, 0.125)

Record 4
# KLa2Pb

A relaxed KLa2Pb crystal (PBE, Alexandria).

Its space group is C2/m (12). The calculation puts the calculated formation energy at -4.1 kJ/mol of atoms.

abc: 11.799 3.643 6.802
angles: 90.00 95.91 90.00
Sites, in units of the cell vectors:
K (0.000, 0.000, 0.000)
K (0.500, 0.500, 0.000)
La (0.238, 0.000, 0.705)
La (0.262, 0.500, 0.295)
La (0.738, 0.500, 0.705)
La (0.762, 0.000, 0.295)
Pb (0.000, 0.500, 0.500)
Pb (0.500, 0.000, 0.500)

Going through the records in order, we get E values of -9.0369; -4.1042; -8.8486; -3.7078 eV/atom.